(1)
Material: EuDyV4O12
Method: DFT, GGA+U
State: optimized geometry

Properties
DFT total energy: -7.9630 eV/atom
V: 214.0 Å³ per cell
total magnetization: 7.45 μB/f.u.
DOS(E_F): 14.718 states/eV/f.u.

Unit cell a=5.332 b=5.332 c=7.526 alpha=90.00 beta=90.00 gamma=90.00
Fractional coordinates of all 18 atoms:
Eu  0.000  0.000  0.500
Dy  0.500  0.500  0.000
V  0.000  0.500  0.751
V  0.000  0.500  0.249
V  0.500  0.000  0.751
V  0.500  0.000  0.249
O  0.254  0.254  0.244
O  0.254  0.254  0.756
O  0.746  0.746  0.756
O  0.746  0.746  0.244
O  0.746  0.254  0.756
O  0.746  0.254  0.244
O  0.254  0.746  0.756
O  0.254  0.746  0.244
O  0.000  0.500  0.500
O  0.000  0.500  0.000
O  0.500  0.000  0.500
O  0.500  0.000  0.000



(2)
Material: Eu2DyWO6
Method: DFT, GGA+U
State: optimized geometry

Properties
DFT total energy: -8.9131 eV/atom
V: 147.2 Å³ per cell
total magnetization: 15.00 μB/f.u.
DOS(E_F): 15.531 states/eV/f.u.

Unit cell a=5.927 b=5.927 c=5.927 alpha=60.00 beta=60.00 gamma=60.00
Fractional coordinates of all 10 atoms:
Eu  0.250  0.250  0.250
Eu  0.750  0.750  0.750
O  0.237  0.763  0.763
O  0.763  0.237  0.763
O  0.237  0.763  0.237
O  0.763  0.763  0.237
O  0.763  0.237  0.237
O  0.237  0.237  0.763
W  0.000  0.000  0.000
Dy  0.500  0.500  0.500